YHgF2: relaxed, PBE.

## Properties
* calculated volume: 16.88 Å³/atom
* energy relative to the lowest polymorph listed for this composition: 12.75 kcal/mol of atoms
* E_form (uncorrected): -1.89 eV per atom
* ρ: 8.1 g/cm3

Structure (CIF):
```
data_YHgF2
_cell_length_a 4.570
_cell_length_b 4.570
_cell_length_c 4.570
_cell_angle_alpha 60.00
_cell_angle_beta 60.00
_cell_angle_gamma 60.00
_symmetry_space_group_name_H-M 'P 1'
_symmetry_Int_Tables_number 1
loop_
_symmetry_equiv_pos_as_xyz
'x,y,z'
loop_
_atom_site_label
_atom_site_fract_x
_atom_site_fract_y
_atom_site_fract_z
Y1 0.000 0.000 0.000
Hg1 0.500 0.500 0.500
F1 0.250 0.250 0.250
F2 0.750 0.750 0.750
```